[1]
Compound: RbCe2I8
Source: Alexandria
Functional: GGA-PBE
Structure: relaxed

a b c (Å): 6.337 8.836 8.836
angles (deg): 112.01 95.58 95.58
Each line ends with the local moment (μB).
Element x y z (fractional)
I 0.279 0.594 0.594  -0.04
I 0.500 0.742 0.258  -0.02
I 0.073 0.057 0.328  -0.02
Ce 0.000 0.319 0.681  0.62
I 0.073 0.328 0.057  -0.02
Ce 0.000 0.681 0.319  0.62
I 0.721 0.406 0.406  -0.04
I 0.927 0.943 0.672  -0.02
I 0.927 0.672 0.943  -0.02
I 0.500 0.258 0.742  -0.02
Rb 0.500 0.000 0.000  0.00

Calculated values
- relative energy among the computed polymorphs (eV per atom) = 0.000
- E_form (uncorrected) (eV per atom) = -1.24


[2]
Compound: RbCe2I8
Source: Alexandria
Functional: GGA-PBE
Structure: relaxed

a b c (Å): 6.240 11.013 11.000
angles (deg): 120.61 90.01 89.99
Each line ends with the local moment (μB).
Element x y z (fractional)
I 0.735 0.357 0.182  -0.02
I 0.264 0.178 0.824  -0.02
I 0.735 0.822 0.176  -0.02
Ce 0.258 0.332 0.669  0.59
I 0.265 0.643 0.818  -0.02
I 0.735 0.821 0.643  -0.02
Rb 0.000 0.000 0.000  0.00
I 0.240 0.669 0.330  -0.02
I 0.265 0.179 0.357  -0.02
Ce 0.742 0.668 0.331  0.59
I 0.760 0.331 0.670  -0.02

Calculated values
- relative energy among the computed polymorphs (eV per atom) = 0.055
- E_form (uncorrected) (eV per atom) = -1.19


[3]
Compound: Rb2Ce3I8
Source: Alexandria
Functional: GGA-PBE
Structure: relaxed

a b c (Å): 7.601 10.401 10.401
angles (deg): 50.91 78.31 78.31
Each line ends with the local moment (μB).
Element x y z (fractional)
I 0.886 0.880 0.880  -0.01
I 0.605 0.859 0.356  -0.01
I 0.906 0.403 0.403  -0.01
I 0.395 0.141 0.644  -0.01
I 0.605 0.356 0.859  -0.01
Rb 0.674 0.256 0.256  0.00
I 0.094 0.597 0.597  -0.01
Ce 0.000 0.220 0.780  1.41
I 0.395 0.644 0.141  -0.01
Ce 0.000 0.780 0.220  1.41
Ce 0.500 0.000 0.000  1.42
I 0.114 0.120 0.120  -0.01
Rb 0.326 0.744 0.744  0.00

Calculated values
- E_form (uncorrected) (eV per atom) = -1.29


[4]
Compound: Rb2CeI4
Source: Alexandria
Functional: GGA-PBE
Structure: relaxed

a b c (Å): 6.295 6.295 10.314
angles (deg): 107.77 107.77 90.00
Each line ends with the local moment (μB).
Element x y z (fractional)
I 0.172 0.172 0.345  0.00
I 0.000 0.500 0.000  -0.01
I 0.828 0.828 0.655  0.00
Rb 0.367 0.367 0.733  0.00
Ce 0.000 0.000 0.000  1.32
I 0.500 0.000 0.000  -0.01
Rb 0.633 0.633 0.267  0.00

Calculated values
- relative energy among the computed polymorphs (eV per atom) = 0.000
- E_form (uncorrected) (eV per atom) = -1.28


[5]
Compound: Rb3CeI6
Source: Alexandria
Functional: GGA-PBE
Structure: relaxed

a b c (Å): 8.736 9.436 12.669
angles (deg): 90.00 89.15 90.00
Each line ends with the local moment (μB).
Element x y z (fractional)
I 0.635 0.448 0.270  -0.01
I 0.707 0.175 0.939  -0.01
Rb 0.965 0.413 0.747  0.00
I 0.365 0.552 0.730  -0.01
I 0.865 0.948 0.230  -0.01
I 0.207 0.325 0.439  -0.01
I 0.662 0.217 0.574  -0.01
I 0.135 0.052 0.770  -0.01
I 0.293 0.825 0.061  -0.01
Rb 0.500 0.500 0.000  0.00
Rb 0.035 0.587 0.253  0.00
I 0.793 0.675 0.561  -0.01
I 0.838 0.717 0.926  -0.01
Ce 0.500 0.500 0.500  0.99
I 0.338 0.783 0.426  -0.01
Rb 0.000 0.000 0.500  0.00
Rb 0.465 0.087 0.247  0.00
Ce 0.000 0.000 0.000  0.99
Rb 0.535 0.913 0.753  0.00
I 0.162 0.283 0.074  -0.01

Calculated values
- E_form (uncorrected) (eV per atom) = -1.45


[6]
Compound: Rb2Ce2I7
Source: Alexandria
Functional: GGA-PBE
Structure: relaxed

a b c (Å): 8.593 7.974 7.974
angles (deg): 99.29 90.00 90.00
Each line ends with the local moment (μB).
Element x y z (fractional)
I 0.776 0.500 0.500  -0.01
Rb 0.500 0.236 0.236  0.00
I 0.241 0.000 0.500  -0.01
I 0.759 0.500 0.000  -0.01
I 0.759 0.000 0.500  -0.01
Rb 0.500 0.764 0.764  0.00
I 0.241 0.500 0.000  -0.01
Ce 0.000 0.280 0.720  1.35
I 0.000 0.000 0.000  -0.01
I 0.224 0.500 0.500  -0.01
Ce 0.000 0.720 0.280  1.35

Calculated values
- E_form (uncorrected) (eV per atom) = -1.32


[7]
Compound: RbCeI3
Source: Alexandria
Functional: GGA-PBE
Structure: relaxed

a b c (Å): 7.448 8.823 8.731
angles (deg): 120.35 100.55 90.00
Each line ends with the local moment (μB).
Element x y z (fractional)
I 0.827 0.179 0.358  0.00
Rb 0.716 0.667 0.334  0.00
Rb 0.284 0.333 0.666  0.00
Ce 0.500 0.000 0.000  -1.12
I 0.710 0.651 0.818  0.00
I 0.710 0.168 0.818  0.00
I 0.173 0.821 0.642  0.00
I 0.290 0.832 0.182  0.00
I 0.290 0.349 0.182  0.00
Ce 0.000 0.000 0.000  1.13

Calculated values
- relative energy among the computed polymorphs (eV per atom) = 0.024
- E_form (uncorrected) (eV per atom) = -1.30


[8]
Compound: Rb2CeI7
Source: Alexandria
Functional: GGA-PBE
Structure: relaxed

a b c (Å): 8.651 12.546 10.439
angles (deg): 82.93 65.52 69.83
Each line ends with the local moment (μB).
Element x y z (fractional)
Rb 0.650 0.427 0.225  0.00
Rb 0.697 0.927 0.725  0.00
I 0.408 0.750 0.250  -0.01
I 0.698 0.173 0.037  -0.01
I 0.857 0.786 0.041  -0.01
I 0.091 0.673 0.537  -0.01
Ce 0.961 0.250 0.750  0.26
I 0.143 0.214 0.959  -0.01
I 0.685 0.714 0.459  -0.01
I 0.302 0.827 0.963  -0.01
I 0.909 0.327 0.463  -0.01
I 0.783 0.498 0.845  -0.01
I 0.592 0.250 0.750  -0.01
I 0.126 0.002 0.655  -0.01
Rb 0.350 0.573 0.775  0.00
I 0.217 0.502 0.155  -0.01
I 0.874 0.998 0.345  -0.01
I 0.315 0.286 0.541  -0.01
Rb 0.303 0.073 0.275  0.00
Ce 0.039 0.750 0.250  0.26

Calculated values
- E_form (uncorrected) (eV per atom) = -1.11


Q: What is the formula in the eighth record?
A: Rb2CeI7